Arrangement a

Material: LiVAs
Method: DFT, PBE
State: optimized geometry

Calculated values
- DOS at the Fermi energy: 1.020 states/eV/atom

CIF file:
```
data_LiVAs
_cell_length_a 4.3262
_cell_length_b 4.3262
_cell_length_c 2.8014
_cell_angle_alpha 90.00
_cell_angle_beta 90.00
_cell_angle_gamma 120.00
_symmetry_space_group_name_H-M 'P -6 m 2'
_symmetry_Int_Tables_number 187
_symmetry_space_group_name_Hall 'P -6 2'
loop_
_atom_site_label
_atom_site_type_symbol
_atom_site_fract_x
_atom_site_fract_y
_atom_site_fract_z
Li1 Li 0.0000 0.0000 0.0000
V1 V 0.3333 0.6667 0.5000
As1 As 0.6667 0.3333 0.5000
```

=====

Arrangement b

Material: LiVAs
Method: DFT, PBE
State: optimized geometry

Calculated values
- DOS at the Fermi energy: 0.481 states/eV/atom

CIF file:
```
data_LiVAs
_cell_length_a 3.516
_cell_length_b 7.705
_cell_length_c 6.947
_cell_angle_alpha 90.00
_cell_angle_beta 90.07
_cell_angle_gamma 90.00
_symmetry_space_group_name_H-M 'P 1 21/c 1'
_symmetry_Int_Tables_number 14
loop_
_symmetry_equiv_pos_as_xyz
'x,y,z'
'-x,-y,-z'
'-x,y+1/2,-z+1/2'
'x,-y+1/2,z+1/2'
loop_
_atom_site_label
_atom_site_type_symbol
_atom_site_fract_x
_atom_site_fract_y
_atom_site_fract_z
Li1 Li 0.250 0.165 0.041
V1 V 0.250 0.556 0.114
As1 As 0.250 0.637 0.751
```

=====

Which structure is most stable? arrangement b, by 0.423 eV/atom over the runner-up.

=====

Arrangement a

Material: TcTeOs2
Method: DFT, PBE
State: optimized geometry

Calculated values
- DOS at the Fermi energy: 0.805 states/eV/atom

CIF file:
```
data_TcTeOs2
_cell_length_a 2.908
_cell_length_b 4.170
_cell_length_c 5.504
_cell_angle_alpha 90.00
_cell_angle_beta 102.94
_cell_angle_gamma 90.00
_symmetry_space_group_name_H-M 'P 1 2/m 1'
_symmetry_Int_Tables_number 10
loop_
_symmetry_equiv_pos_as_xyz
'x,y,z'
'-x,-y,-z'
'-x,y,-z'
'x,-y,z'
loop_
_atom_site_label
_atom_site_type_symbol
_atom_site_fract_x
_atom_site_fract_y
_atom_site_fract_z
Tc1 Tc 0.000 0.000 0.000
Te1 Te 0.000 0.000 0.500
Os1 Os 0.388 0.500 0.763
```

=====

Arrangement b

Material: TcTeOs2
Method: DFT, PBE
State: optimized geometry

Calculated values
- DOS at the Fermi energy: 1.098 states/eV/atom

CIF file:
```
data_TcTeOs2
_cell_length_a 4.700
_cell_length_b 4.700
_cell_length_c 2.956
_cell_angle_alpha 90.00
_cell_angle_beta 90.00
_cell_angle_gamma 90.00
_symmetry_space_group_name_H-M 'P 4/m m m'
_symmetry_Int_Tables_number 123
_symmetry_space_group_name_Hall '-P 4 2'
loop_
_atom_site_label
_atom_site_type_symbol
_atom_site_fract_x
_atom_site_fract_y
_atom_site_fract_z
Tc1 Tc 0.000 0.000 0.000
Te1 Te 0.500 0.500 0.000
Os1 Os 0.000 0.500 0.500
```

=====

Which structure is most stable? arrangement a, by 0.224 eV/atom over the runner-up.

=====

Arrangement a

Material: ReMoAs2
Method: DFT, PBE
State: optimized geometry

Calculated values
- DOS at the Fermi energy: 0.670 states/eV/atom

CIF file:
```
data_ReMoAs2
_cell_length_a 3.061
_cell_length_b 4.719
_cell_length_c 9.938
_cell_angle_alpha 90.00
_cell_angle_beta 90.00
_cell_angle_gamma 90.00
_symmetry_space_group_name_H-M 'C m m 2'
_symmetry_Int_Tables_number 35
loop_
_symmetry_equiv_pos_as_xyz
'x,y,z'
'-x,-y,z'
'-x,y,z'
'x,-y,z'
'x+1/2,y+1/2,z'
'-x+1/2,-y+1/2,z'
'-x+1/2,y+1/2,z'
'x+1/2,-y+1/2,z'
loop_
_atom_site_label
_atom_site_type_symbol
_atom_site_fract_x
_atom_site_fract_y
_atom_site_fract_z
Re1 Re 0.000 0.000 0.000
Mo1 Mo 0.000 0.500 0.224
As1 As 0.000 0.000 0.439
As2 As 0.000 0.500 0.788
```

=====

Arrangement b

Material: ReMoAs2
Method: DFT, PBE
State: optimized geometry

Calculated values
- DOS at the Fermi energy: 0.608 states/eV/atom

CIF file:
```
data_ReMoAs2
_cell_length_a 2.977
_cell_length_b 2.977
_cell_length_c 7.974
_cell_angle_alpha 90.00
_cell_angle_beta 90.00
_cell_angle_gamma 90.00
_symmetry_space_group_name_H-M 'P 4 m m'
_symmetry_Int_Tables_number 99
loop_
_symmetry_equiv_pos_as_xyz
'x,y,z'
'-y,x,z'
'-x,-y,z'
'y,-x,z'
'-x,y,z'
'y,x,z'
'x,-y,z'
'-y,-x,z'
loop_
_atom_site_label
_atom_site_type_symbol
_atom_site_fract_x
_atom_site_fract_y
_atom_site_fract_z
Re1 Re 0.000 0.000 0.000
Mo1 Mo 0.500 0.500 0.780
As1 As 0.000 0.000 0.561
As2 As 0.500 0.500 0.196
```

=====

Which structure is most stable? arrangement b, by 0.227 eV/atom over the runner-up.

=====

Arrangement a

Material: YNiAsBr2
Method: DFT, PBE
State: optimized geometry

Calculated values
- DOS at the Fermi energy: 0.314 states/eV/atom

CIF file:
```
data_YNiAsBr2
_cell_length_a 4.707
_cell_length_b 4.707
_cell_length_c 5.156
_cell_angle_alpha 90.00
_cell_angle_beta 90.00
_cell_angle_gamma 90.00
_symmetry_space_group_name_H-M 'P 4/m m m'
_symmetry_Int_Tables_number 123
_symmetry_space_group_name_Hall '-P 4 2'
loop_
_atom_site_label
_atom_site_type_symbol
_atom_site_fract_x
_atom_site_fract_y
_atom_site_fract_z
Y1 Y 0.000 0.000 0.000
Ni1 Ni 0.500 0.500 0.500
As1 As 0.500 0.500 0.000
Br1 Br 0.000 0.500 0.500
```

=====

Arrangement b

Material: YNiAsBr2
Method: DFT, PBE
State: optimized geometry

Calculated values
- DOS at the Fermi energy: 1.208 states/eV/atom

CIF file:
```
data_YNiAsBr2
_cell_length_a 5.427
_cell_length_b 5.427
_cell_length_c 5.794
_cell_angle_alpha 90.00
_cell_angle_beta 90.00
_cell_angle_gamma 90.00
_symmetry_space_group_name_H-M 'P 4/m m m'
_symmetry_Int_Tables_number 123
_symmetry_space_group_name_Hall '-P 4 2'
loop_
_atom_site_label
_atom_site_type_symbol
_atom_site_fract_x
_atom_site_fract_y
_atom_site_fract_z
Y1 Y 0.000 0.000 0.000
Ni1 Ni 0.500 0.500 0.500
As1 As 0.000 0.000 0.500
Br1 Br 0.000 0.500 0.000
```

=====

Which structure is most stable? arrangement a, by 0.399 eV/atom over the runner-up.